[1]
Material: Y2ZrAl
Method: DFT, PBE
State: relaxed

Output
- Crystal system: tetragonal
- Energy of formation: -0.118 eV/atom

```
data_Y2ZrAl
_chemical_formula_sum 'Y4 Zr2 Al2'
_symmetry_space_group_name_H-M 'I -4 m 2'
_symmetry_Int_Tables_number 119
_symmetry_space_group_name_Hall 'I -4 -2'
_cell_length_a 4.5734
_cell_length_b 4.5734
_cell_length_c 9.4975
_cell_angle_alpha 90.00
_cell_angle_beta 90.00
_cell_angle_gamma 90.00
loop_
_atom_site_label
_atom_site_type_symbol
_atom_site_fract_x
_atom_site_fract_y
_atom_site_fract_z
Y1 Y 0.0000 0.0000 0.0000
Y2 Y 0.0000 0.5000 0.2500
Zr1 Zr 0.0000 0.5000 0.7500
Al1 Al 0.0000 0.0000 0.5000
```

=====

[2]
Material: MgTeOs2
Method: DFT, PBE
State: relaxed

Output
- Formation energy without anion corrections: 0.5189 eV per atom
- Crystal system: trigonal
- Polymorph energy (0 for the lowest one): 251 meV per atom

```
data_MgTeOs2
_chemical_formula_sum 'Mg3 Te3 Os6'
_symmetry_space_group_name_H-M 'R 3 m'
_symmetry_Int_Tables_number 160
_symmetry_space_group_name_Hall 'R 3 -2"'
_cell_length_a 2.9889
_cell_length_b 2.9889
_cell_length_c 27.9479
_cell_angle_alpha 90.00
_cell_angle_beta 90.00
_cell_angle_gamma 120.00
loop_
_atom_site_label
_atom_site_type_symbol
_atom_site_fract_x
_atom_site_fract_y
_atom_site_fract_z
Mg1 Mg 0.0000 0.0000 0.0000
Te1 Te 0.0000 0.0000 0.7689
Os1 Os 0.0000 0.0000 0.2558
Os2 Os 0.0000 0.0000 0.5179
```

=====

[3]
Material: Ti3AlW
Method: DFT, PBE
State: relaxed

Output
- Crystal system: monoclinic
- Energy of formation: -0.185 eV/atom
- Polymorph energy (0 for the lowest one): 0 meV per atom

```
data_Ti3AlW
_chemical_formula_sum 'Ti12 Al4 W4'
_symmetry_space_group_name_H-M 'C 1 2/m 1'
_symmetry_Int_Tables_number 12
_cell_length_a 9.7504
_cell_length_b 4.5514
_cell_length_c 7.7367
_cell_angle_alpha 90.00
_cell_angle_beta 106.81
_cell_angle_gamma 90.00
loop_
_symmetry_equiv_pos_as_xyz
'x,y,z'
'-x,-y,-z'
'-x,y,-z'
'x,-y,z'
'x+1/2,y+1/2,z'
'-x+1/2,-y+1/2,-z'
'-x+1/2,y+1/2,-z'
'x+1/2,-y+1/2,z'
loop_
_atom_site_label
_atom_site_type_symbol
_atom_site_fract_x
_atom_site_fract_y
_atom_site_fract_z
Ti1 Ti 0.0556 0.0000 0.3524
Ti2 Ti 0.0591 0.5000 0.8613
Ti3 Ti 0.2489 0.5000 0.2429
Al1 Al 0.1440 0.5000 0.5550
W1 W 0.1420 0.0000 0.0495
```

=====

[4]
Material: Sb2TeSe
Method: DFT, PBE
State: relaxed

Output
- Formation energy without anion corrections: 0.1682 eV per atom
- Crystal system: tetragonal
- Polymorph energy (0 for the lowest one): 202 meV per atom

```
data_Sb2TeSe
_chemical_formula_sum 'Sb2 Te1 Se1'
_symmetry_space_group_name_H-M 'P 4/m m m'
_symmetry_Int_Tables_number 123
_symmetry_space_group_name_Hall '-P 4 2'
_cell_length_a 5.2296
_cell_length_b 5.2296
_cell_length_c 3.7820
_cell_angle_alpha 90.00
_cell_angle_beta 90.00
_cell_angle_gamma 90.00
loop_
_atom_site_label
_atom_site_type_symbol
_atom_site_fract_x
_atom_site_fract_y
_atom_site_fract_z
Sb1 Sb 0.0000 0.5000 0.0000
Te1 Te 0.0000 0.0000 0.5000
Se1 Se 0.5000 0.5000 0.5000
```

=====

[5]
Material: Te2MoP
Method: DFT, PBE
State: relaxed

Output
- Formation energy without anion corrections: 0.5814 eV per atom
- Crystal system: tetragonal

```
data_Te2MoP
_chemical_formula_sum 'Te4 Mo2 P2'
_symmetry_space_group_name_H-M 'I 4/m m m'
_symmetry_Int_Tables_number 139
_symmetry_space_group_name_Hall '-I 4 2'
_cell_length_a 5.6378
_cell_length_b 5.6378
_cell_length_c 5.8656
_cell_angle_alpha 90.00
_cell_angle_beta 90.00
_cell_angle_gamma 90.00
loop_
_atom_site_label
_atom_site_type_symbol
_atom_site_fract_x
_atom_site_fract_y
_atom_site_fract_z
Te1 Te 0.0000 0.5000 0.0000
Mo1 Mo 0.0000 0.0000 0.0000
P1 P 0.0000 0.0000 0.5000
```

=====

[6]
Material: Rb2TlFeGe
Method: DFT, PBE
State: relaxed

Output
- Crystal system: tetragonal
- Energy of formation: 0.828 eV/atom

```
data_Rb2TlFeGe
_chemical_formula_sum 'Rb2 Tl1 Fe1 Ge1'
_symmetry_space_group_name_H-M 'P 4/m m m'
_symmetry_Int_Tables_number 123
_symmetry_space_group_name_Hall '-P 4 2'
_cell_length_a 6.3993
_cell_length_b 6.3993
_cell_length_c 5.1476
_cell_angle_alpha 90.00
_cell_angle_beta 90.00
_cell_angle_gamma 90.00
loop_
_atom_site_label
_atom_site_type_symbol
_atom_site_fract_x
_atom_site_fract_y
_atom_site_fract_z
Rb1 Rb 0.0000 0.5000 0.0000
Tl1 Tl 0.0000 0.0000 0.5000
Fe1 Fe 0.0000 0.0000 0.0000
Ge1 Ge 0.5000 0.5000 0.5000
```

=====

[7]
Material: CaLaPS2
Method: DFT, PBE
State: relaxed

Output
- Formation energy without anion corrections: -0.6940 eV per atom
- Crystal system: tetragonal
- Polymorph energy (0 for the lowest one): 11 meV per atom

```
data_CaLaPS2
_chemical_formula_sum 'Ca1 La1 P1 S2'
_symmetry_space_group_name_H-M 'P 4/m m m'
_symmetry_Int_Tables_number 123
_symmetry_space_group_name_Hall '-P 4 2'
_cell_length_a 5.4420
_cell_length_b 5.4420
_cell_length_c 5.3621
_cell_angle_alpha 90.00
_cell_angle_beta 90.00
_cell_angle_gamma 90.00
loop_
_atom_site_label
_atom_site_type_symbol
_atom_site_fract_x
_atom_site_fract_y
_atom_site_fract_z
Ca1 Ca 0.0000 0.0000 0.0000
La1 La 0.5000 0.5000 0.5000
P1 P 0.5000 0.5000 0.0000
S1 S 0.0000 0.5000 0.5000
```

=====

[8]
Material: Pr5TlRh2
Method: DFT, PBE
State: relaxed

Output
- Crystal system: tetragonal
- Energy of formation: -0.484 eV/atom

```
data_Pr5TlRh2
_chemical_formula_sum 'Pr20 Tl4 Rh8'
_symmetry_space_group_name_H-M 'I 4/m c m'
_symmetry_Int_Tables_number 140
_symmetry_space_group_name_Hall '-I 4 2c'
_cell_length_a 8.0672
_cell_length_b 8.0672
_cell_length_c 14.1398
_cell_angle_alpha 90.00
_cell_angle_beta 90.00
_cell_angle_gamma 90.00
loop_
_atom_site_label
_atom_site_type_symbol
_atom_site_fract_x
_atom_site_fract_y
_atom_site_fract_z
Pr1 Pr 0.0000 0.0000 0.0000
Pr2 Pr 0.1621 0.3379 0.1340
Tl1 Tl 0.0000 0.0000 0.2500
Rh1 Rh 0.1362 0.3638 0.5000
```

=====

[9]
Material: MgFe2Cl
Method: DFT, PBE
State: relaxed

Output
- Formation energy without anion corrections: 0.4050 eV per atom
- Crystal system: orthorhombic
- Polymorph energy (0 for the lowest one): 480 meV per atom

```
data_MgFe2Cl
_chemical_formula_sum 'Mg2 Fe4 Cl2'
_symmetry_space_group_name_H-M 'C m m m'
_symmetry_Int_Tables_number 65
_symmetry_space_group_name_Hall '-C 2 2'
_cell_length_a 5.0768
_cell_length_b 8.9838
_cell_length_c 2.9030
_cell_angle_alpha 90.00
_cell_angle_beta 90.00
_cell_angle_gamma 90.00
loop_
_atom_site_label
_atom_site_type_symbol
_atom_site_fract_x
_atom_site_fract_y
_atom_site_fract_z
Mg1 Mg 0.0000 0.0000 0.0000
Fe1 Fe 0.2500 0.2500 0.5000
Cl1 Cl 0.0000 0.5000 0.0000
```

=====

[10]
Material: HfI3Br
Method: DFT, PBE
State: relaxed

Output
- Formation energy without anion corrections: -0.9571 eV per atom
- Crystal system: orthorhombic
- Polymorph energy (0 for the lowest one): 0 meV per atom

```
data_HfI3Br
_chemical_formula_sum 'Hf4 I12 Br4'
_symmetry_space_group_name_H-M 'I m m m'
_symmetry_Int_Tables_number 71
_symmetry_space_group_name_Hall '-I 2 2'
_cell_length_a 8.2650
_cell_length_b 9.7929
_cell_length_c 10.8707
_cell_angle_alpha 90.00
_cell_angle_beta 90.00
_cell_angle_gamma 90.00
loop_
_atom_site_label
_atom_site_type_symbol
_atom_site_fract_x
_atom_site_fract_y
_atom_site_fract_z
Hf1 Hf 0.0000 0.0000 0.0000
Hf2 Hf 0.0000 0.5000 0.5000
I1 I 0.0000 0.2183 0.5000
I2 I 0.2499 0.0000 0.1900
Br1 Br 0.0000 0.2583 0.0000
```

=====

[11]
Material: AlAu
Method: DFT, PBE
State: relaxed

Output
- Crystal system: orthorhombic
- Energy of formation: -0.357 eV/atom

```
data_AlAu
_chemical_formula_sum 'Al4 Au4'
_symmetry_space_group_name_H-M 'C m c m'
_symmetry_Int_Tables_number 63
_symmetry_space_group_name_Hall '-C 2c 2'
_cell_length_a 3.2308
_cell_length_b 10.4192
_cell_length_c 4.1305
_cell_angle_alpha 90.00
_cell_angle_beta 90.00
_cell_angle_gamma 90.00
loop_
_atom_site_label
_atom_site_type_symbol
_atom_site_fract_x
_atom_site_fract_y
_atom_site_fract_z
Al1 Al 0.0000 0.1554 0.2500
Au1 Au 0.0000 0.4035 0.2500
```

=====

[12]
Material: Mn2BeHg
Method: DFT, PBE
State: relaxed

Output
- Crystal system: trigonal
- Energy of formation: 0.401 eV/atom
- Polymorph energy (0 for the lowest one): 174 meV per atom

```
data_Mn2BeHg
_chemical_formula_sum 'Mn6 Be3 Hg3'
_symmetry_space_group_name_H-M 'R -3 m'
_symmetry_Int_Tables_number 166
_symmetry_space_group_name_Hall '-R 3 2"'
_cell_length_a 2.9067
_cell_length_b 2.9067
_cell_length_c 24.5512
_cell_angle_alpha 90.00
_cell_angle_beta 90.00
_cell_angle_gamma 120.00
loop_
_atom_site_label
_atom_site_type_symbol
_atom_site_fract_x
_atom_site_fract_y
_atom_site_fract_z
Mn1 Mn 0.0000 0.0000 0.2345
Be1 Be 0.0000 0.0000 0.5000
Hg1 Hg 0.0000 0.0000 0.0000
```

=====

What is the formula in the twelfth record? Mn2BeHg